Here is crystalline La2TePt at its relaxed geometry from Alexandria via LeMat-Bulk. Energies are from PBE.

Calculated total energy   -5.83 eV per atom
Space group   I-42d (122)

Lattice parameters (Å, degrees): 6.9874 6.9874 6.9874 109.74 109.74 108.94
Fractional coordinates of all 8 atoms:
La (0.0864, 0.1250, 0.4614)
La (0.3750, 0.9136, 0.0386)
La (0.6636, 0.6250, 0.5386)
La (0.8750, 0.3364, 0.9614)
Te (0.2500, 0.7500, 0.5000)
Te (0.5000, 0.5000, 0.0000)
Pt (0.0000, 0.0000, 0.0000)
Pt (0.7500, 0.2500, 0.5000)

---

Here is crystalline La3TePt at its relaxed geometry from Alexandria via LeMat-Bulk. Energies are from PBE.

Polymorph energy (0 for the lowest one)   0.0 meV per atom
Calculated total energy   -5.54 eV per atom
Space group   Pm-3m (221)

Lattice parameters (Å, degrees): 5.6791 5.6791 5.6791 90.00 90.00 90.00
Fractional coordinates of all 5 atoms:
La (0.0000, 0.0000, 0.5000)
La (0.0000, 0.5000, 0.0000)
La (0.5000, 0.0000, 0.0000)
Te (0.5000, 0.5000, 0.5000)
Pt (0.0000, 0.0000, 0.0000)